No. 1
This record from Alexandria describes a geometry-optimized CaZn2CrGe structure. The functional is PBE.

Values from the calculation:
- DFT total energy: -2.752 eV per atom

a b c (Å): 4.7483 4.7483 5.5799
angles (deg): 90.00 90.00 90.00
Closest atoms and distances in Å follow each position.
Space group P4/mmm (No. 123)
One atom of each set of equivalent atoms:
Ca: 0.0000 0.0000 0.0000 (multiplicity 1)  2 Ge 2.79
Zn: 0.0000 0.5000 0.5000 (multiplicity 2)  2 Ge 2.37
Cr: 0.5000 0.5000 0.0000 (multiplicity 1)  4 Ca 3.36, 8 Zn 3.66
Ge: 0.0000 0.0000 0.5000 (multiplicity 1)  4 Zn 2.37

***

No. 2
This record from Alexandria describes a geometry-optimized Ac2ZnSb4Pd3 structure. The functional is PBE.

Values from the calculation:
- Uncorrected formation energy: -0.787 eV per atom
- DFT total energy: -4.943 eV per atom

a b c (Å): 4.7843 4.7843 10.6476
angles (deg): 90.00 90.00 90.00
Closest atoms and distances in Å follow each position.
Space group P-4m2 (No. 115)
One atom of each set of equivalent atoms:
Ac: 0.0000 0.5000 0.2448 (multiplicity 2)  6 Pd 3.54-3.67, 2 Zn 3.54, 8 Sb 3.60-3.62
Zn: 0.5000 0.5000 0.0000 (multiplicity 1)  4 Sb 2.76
Sb: 0.0000 0.0000 0.5000 (multiplicity 1)  4 Pd 2.72
Sb: 0.0000 0.5000 0.8713 (multiplicity 2)  3 Pd 2.65-2.76, 2 Zn 2.76
Sb: 0.5000 0.5000 0.5000 (multiplicity 1)  4 Pd 2.72
Pd: 0.0000 0.0000 0.0000 (multiplicity 1)  4 Sb 2.76
Pd: 0.0000 0.5000 0.6225 (multiplicity 2)  5 Sb 2.65-2.72

***

No. 3
This record from Alexandria describes a geometry-optimized Hf3GeOs structure. The functional is PBE.

Values from the calculation:
- Energy relative to the lowest polymorph listed for this composition: 0.0 meV/atom
- DFT total energy: -8.756 eV per atom

a b c (Å): 5.0018 5.0018 5.0018
angles (deg): 90.00 90.00 90.00
Closest atoms and distances in Å follow each position.
Space group Pm-3m (No. 221)
One atom of each set of equivalent atoms:
Hf: 0.0000 0.0000 0.5000 (multiplicity 3)  2 Os 2.50
Ge: 0.5000 0.5000 0.5000 (multiplicity 1)  12 Hf 3.54
Os: 0.0000 0.0000 0.0000 (multiplicity 1)  6 Hf 2.50

***

No. 4
This record from Alexandria describes a geometry-optimized Er structure. The functional is PBE.

Values from the calculation:
- Energy relative to the lowest polymorph listed for this composition: 2000.3 meV/atom
- DFT total energy: -2.563 eV per atom

a b c (Å): 7.2044 7.2044 7.2044
angles (deg): 90.00 90.00 90.00
Closest atoms and distances in Å follow each position.
Space group Fd-3m (No. 227, origin choice 2)
One atom of each set of equivalent atoms:
Er: 0.1250 0.1250 0.1250 (multiplicity 8)  4 Er 3.12

***

No. 5
This record from Alexandria describes a geometry-optimized YScAs2Br structure. The functional is PBE.

Values from the calculation:
- Uncorrected formation energy: -0.623 eV per atom
- Energy relative to the lowest polymorph listed for this composition: 0.0 meV/atom
- DFT total energy: -5.376 eV per atom

a b c (Å): 5.1358 5.1358 5.0607
angles (deg): 90.00 90.00 90.00
Closest atoms and distances in Å follow each position.
Space group P4/mmm (No. 123)
One atom of each set of equivalent atoms:
Y: 0.0000 0.0000 0.0000 (multiplicity 1)  8 As 3.61, 4 Br 3.63
Sc: 0.5000 0.5000 0.5000 (multiplicity 1)  2 Br 2.53, 4 As 2.57
As: 0.0000 0.5000 0.5000 (multiplicity 2)  2 Sc 2.57
Br: 0.5000 0.5000 0.0000 (multiplicity 1)  2 Sc 2.53